CeHf2Hg after structural relaxation. Source: Alexandria via LeMat-Bulk, functional PBE.

a b c (Å): 4.617 4.617 4.319
angles (deg): 90.00 90.00 90.00
Fractional positions:
Ce 0.000 0.000 0.000
Hf 0.000 0.500 0.500
Hf 0.500 0.000 0.500
Hg 0.500 0.500 0.000

## Properties
Energy of formation, eV per atom: 0.0474
DOS(E_F), states/eV/f.u.: 4.00
Polymorph energy (0 for the lowest one), meV/atom: 13
Crystal system: tetragonal
Space group: No. 123